1.
# ReRu3

ReRu3 at its PBEsol-relaxed geometry (SCAN, the Alexandria database).

Cell and atoms, written as POSCAR:
```
ReRu3
1.0
-1.124 -2.449 -0.301
3.853 -1.817 0.405
-0.621 -0.284 4.635
Re Ru
1 3
Cartesian
-0.002 -0.001 0.018 Re
1.718 -1.004 1.759 Ru
-0.870 -1.365 2.147 Ru
0.848 -2.369 3.907 Ru
```

Computed properties:
**D(E_F)**: 2.855 states/eV per cell
**Energy of formation**: -76 meV per atom

=====

2.
# TcAs2Ir

TcAs2Ir at its PBEsol-relaxed geometry (SCAN, the Alexandria database).

Cell and atoms, written as POSCAR:
```
TcAs2Ir
1.0
-0.468 -1.732 -2.354
-2.415 -2.189 2.090
-3.989 3.030 -1.437
As Ir Tc
2 1 1
Cartesian
-3.774 2.866 -1.359 As
-2.655 -1.038 -0.570 As
-1.828 1.389 -0.658 Ir
-4.598 0.437 -1.269 Tc
```

Computed properties:
**D(E_F)**: 2.726 states/eV per cell
**Energy of formation**: -60 meV per atom

=====

3.
# CoRe

CoRe at its PBEsol-relaxed geometry (SCAN, the Alexandria database).

Cell and atoms, written as POSCAR:
```
CoRe
1.0
-0.499 -1.718 1.882
3.314 -2.219 -1.148
2.575 2.372 2.848
Re Co
2 2
Cartesian
2.936 -1.249 -0.362 Re
2.952 1.402 2.062 Re
1.458 -0.604 1.626 Co
3.932 -0.961 1.956 Co
```

Computed properties:
**D(E_F)**: 2.678 states/eV per cell
**Energy of formation**: 39 meV per atom

=====

4.
# NiPPt

NiPPt at its PBEsol-relaxed geometry (SCAN, the Alexandria database).

Cell and atoms, written as POSCAR:
```
NiPPt
1.0
-2.405 -1.157 2.782
-2.246 -3.084 -0.553
0.704 -3.267 1.921
Ni Pt P
1 1 1
Cartesian
-1.973 -3.754 2.075 Ni
0.000 0.000 0.000 Pt
-0.987 -1.877 1.038 P
```

Computed properties:
**D(E_F)**: 2.192 states/eV per cell
**Energy of formation**: -430 meV per atom

=====

5.
# HgAu2F8

HgAu2F8 at its PBEsol-relaxed geometry (SCAN, the Alexandria database).

Cell and atoms, written as POSCAR:
```
HgAu2F8
1.0
-5.643 -0.987 -0.527
0.947 -5.656 0.449
-1.079 0.641 10.345
Hg Au F
2 4 16
Cartesian
-0.809 0.481 7.759 Hg
-0.270 0.160 2.586 Hg
-3.361 -0.173 4.909 Au
-0.066 -2.508 5.397 Au
-2.821 -0.493 -0.264 Au
0.474 -2.828 0.225 Au
-3.749 -5.043 6.524 F
-2.304 -0.794 6.412 F
-5.049 -4.152 8.874 F
-5.139 -2.207 6.204 F
-0.914 -3.630 6.733 F
-1.915 -4.522 9.224 F
-4.248 -4.628 1.198 F
-1.114 -4.997 1.548 F
-3.860 -1.480 1.043 F
-4.861 -2.372 3.535 F
-0.635 -3.795 4.063 F
-0.726 -1.850 1.393 F
-3.471 -5.209 3.855 F
-2.025 -0.959 3.743 F
-1.526 -1.374 9.069 F
-4.661 -1.005 8.720 F
```

Computed properties:
**D(E_F)**: 0.000 states/eV per cell
**Formation energy from raw total energies**: -1343 kJ/mol of formula units

=====

6.
# CoNiRh2

CoNiRh2 at its PBEsol-relaxed geometry (SCAN, the Alexandria database).

Cell and atoms, written as POSCAR:
```
CoNiRh2
1.0
-3.502 -0.056 0.579
0.571 -1.522 3.307
0.196 3.355 1.511
Ni Rh Co
1 2 1
Cartesian
-1.751 -0.028 0.290 Ni
0.098 1.678 0.755 Rh
0.286 -0.761 1.653 Rh
-1.367 0.888 2.698 Co
```

Computed properties:
**D(E_F)**: 3.307 states/eV per cell
**Energy of formation**: 13 meV per atom